1.
Crystalline KInP4 at its relaxed geometry, computed with PBE.

Cell and atoms, written as CIF:
```
data_KInP4
_space_group_name_H-M_alt 'F -4 3 m'
_space_group_IT_number 216
_space_group_name_Hall 'F -4 2 3'
_cell_length_a 8.277
_cell_length_b 8.277
_cell_length_c 8.277
_cell_angle_alpha 90.00
_cell_angle_beta 90.00
_cell_angle_gamma 90.00
loop_
_atom_site_label
_atom_site_type_symbol
_atom_site_fract_x
_atom_site_fract_y
_atom_site_fract_z
K1 K 0.000 0.000 0.000
In1 In 0.250 0.250 0.250
P1 P 0.099 0.099 0.599
```

Energy of formation from the pure elements   137 meV per atom

2.
Crystalline Sr2GeF at its relaxed geometry, computed with PBE.

Cell and atoms, written as CIF:
```
data_Sr2GeF
_space_group_name_H-M_alt 'I -4 2 d'
_space_group_IT_number 122
_space_group_name_Hall 'I -4 2bw'
_cell_length_a 7.415
_cell_length_b 7.415
_cell_length_c 8.231
_cell_angle_alpha 90.00
_cell_angle_beta 90.00
_cell_angle_gamma 90.00
loop_
_atom_site_label
_atom_site_type_symbol
_atom_site_fract_x
_atom_site_fract_y
_atom_site_fract_z
Sr1 Sr 0.184 0.250 0.125
Ge1 Ge 0.000 0.000 0.500
F1 F 0.000 0.000 0.000
```

Relative energy among the computed polymorphs   0.134 eV per atom
Uncorrected formation energy   -1.543 eV/atom

3.
Crystalline Ce6Os5 at its relaxed geometry, computed with PBE.

Cell and atoms, written as CIF:
```
data_Ce6Os5
_space_group_name_H-M_alt 'C 1 2/m 1'
_space_group_IT_number 12
_cell_length_a 6.811
_cell_length_b 11.425
_cell_length_c 7.125
_cell_angle_alpha 90.00
_cell_angle_beta 105.01
_cell_angle_gamma 90.00
loop_
_space_group_symop_operation_xyz
'x,y,z'
'-x,-y,-z'
'-x,y,-z'
'x,-y,z'
'x+1/2,y+1/2,z'
'-x+1/2,-y+1/2,-z'
'-x+1/2,y+1/2,-z'
'x+1/2,-y+1/2,z'
loop_
_atom_site_label
_atom_site_type_symbol
_atom_site_fract_x
_atom_site_fract_y
_atom_site_fract_z
Ce1 Ce 0.226 0.000 0.212
Ce2 Ce 0.230 0.176 0.723
Os1 Os 0.000 0.000 0.500
Os2 Os 0.000 0.182 0.000
Os3 Os 0.000 0.373 0.500
```

Energy of formation from the pure elements   -53 meV per atom

4.
Crystalline Nd2PuN3 at its relaxed geometry, computed with PBE.

Cell and atoms, written as CIF:
```
data_Nd2PuN3
_space_group_name_H-M_alt 'I m m m'
_space_group_IT_number 71
_space_group_name_Hall '-I 2 2'
_cell_length_a 3.577
_cell_length_b 5.087
_cell_length_c 10.743
_cell_angle_alpha 90.00
_cell_angle_beta 90.00
_cell_angle_gamma 90.00
loop_
_atom_site_label
_atom_site_type_symbol
_atom_site_fract_x
_atom_site_fract_y
_atom_site_fract_z
Nd1 Nd 0.000 0.000 0.165
Pu1 Pu 0.000 0.000 0.500
N1 N 0.000 0.500 0.148
N2 N 0.000 0.500 0.500
```

Relative energy among the computed polymorphs   0.000 eV per atom
Uncorrected formation energy   -1.324 eV/atom

5.
Crystalline Pm4Sb3O at its relaxed geometry, computed with PBE.

Cell and atoms, written as CIF:
```
data_Pm4Sb3O
_space_group_name_H-M_alt 'P m n 21'
_space_group_IT_number 31
_cell_length_a 12.329
_cell_length_b 6.304
_cell_length_c 6.306
_cell_angle_alpha 90.00
_cell_angle_beta 90.00
_cell_angle_gamma 90.00
loop_
_space_group_symop_operation_xyz
'x,y,z'
'-x+1/2,-y,z+1/2'
'-x,y,z'
'x+1/2,-y,z+1/2'
loop_
_atom_site_label
_atom_site_type_symbol
_atom_site_fract_x
_atom_site_fract_y
_atom_site_fract_z
Pm1 Pm 0.000 0.159 0.000
Pm2 Pm 0.000 0.746 0.409
Pm3 Pm 0.250 0.245 0.501
Sb1 Sb 0.000 0.245 0.498
Sb2 Sb 0.250 0.256 0.001
O1 O 0.000 0.819 0.070
```

Uncorrected formation energy   -1.459 eV/atom

6.
Crystalline LiAc2PrHg6 at its relaxed geometry, computed with PBE.

Cell and atoms, written as CIF:
```
data_LiAc2PrHg6
_space_group_name_H-M_alt 'P -1'
_space_group_IT_number 2
_cell_length_a 5.015
_cell_length_b 6.144
_cell_length_c 9.873
_cell_angle_alpha 88.82
_cell_angle_beta 89.73
_cell_angle_gamma 66.27
loop_
_space_group_symop_operation_xyz
'x,y,z'
'-x,-y,-z'
loop_
_atom_site_label
_atom_site_type_symbol
_atom_site_fract_x
_atom_site_fract_y
_atom_site_fract_z
Li1 Li 0.000 0.000 0.000
Ac1 Ac 0.293 0.414 0.190
Pr1 Pr 0.500 0.000 0.500
Hg1 Hg 0.008 0.985 0.280
Hg2 Hg 0.198 0.605 0.541
Hg3 Hg 0.400 0.198 0.870
```

Energy of formation from the pure elements   -426 meV per atom

7.
Crystalline TbPrGe at its relaxed geometry, computed with PBE.

Cell and atoms, written as CIF:
```
data_TbPrGe
_space_group_name_H-M_alt 'P 3 m 1'
_space_group_IT_number 156
_cell_length_a 4.7841
_cell_length_b 4.7841
_cell_length_c 4.3129
_cell_angle_alpha 90.00
_cell_angle_beta 90.00
_cell_angle_gamma 120.00
loop_
_space_group_symop_operation_xyz
'x,y,z'
'-y,x-y,z'
'-x+y,-x,z'
'-y,-x,z'
'-x+y,y,z'
'x,x-y,z'
loop_
_atom_site_label
_atom_site_type_symbol
_atom_site_fract_x
_atom_site_fract_y
_atom_site_fract_z
Tb1 Tb 0.0000 0.0000 0.0000
Pr1 Pr 0.6667 0.3333 0.4705
Ge1 Ge 0.3333 0.6667 0.8455
```

Energy of formation from the pure elements   -414 meV per atom
Relative energy among the computed polymorphs   0.112 eV per atom

8.
Crystalline SrLiLaAu at its relaxed geometry, computed with PBE.

Cell and atoms, written as CIF:
```
data_SrLiLaAu
_space_group_name_H-M_alt 'F -4 3 m'
_space_group_IT_number 216
_space_group_name_Hall 'F -4 2 3'
_cell_length_a 7.694
_cell_length_b 7.694
_cell_length_c 7.694
_cell_angle_alpha 90.00
_cell_angle_beta 90.00
_cell_angle_gamma 90.00
loop_
_atom_site_label
_atom_site_type_symbol
_atom_site_fract_x
_atom_site_fract_y
_atom_site_fract_z
Sr1 Sr 0.000 0.000 0.000
Li1 Li 0.250 0.250 0.750
La1 La 0.000 0.000 0.500
Au1 Au 0.250 0.250 0.250
```

Energy of formation from the pure elements   -332 meV per atom

9.
Crystalline HoBe5Cu7 at its relaxed geometry, computed with PBE.

Cell and atoms, written as CIF:
```
data_HoBe5Cu7
_space_group_name_H-M_alt 'I m m 2'
_space_group_IT_number 44
_cell_length_a 4.503
_cell_length_b 8.157
_cell_length_c 8.153
_cell_angle_alpha 90.00
_cell_angle_beta 90.00
_cell_angle_gamma 90.00
loop_
_space_group_symop_operation_xyz
'x,y,z'
'-x,-y,z'
'-x,y,z'
'x,-y,z'
'x+1/2,y+1/2,z+1/2'
'-x+1/2,-y+1/2,z+1/2'
'-x+1/2,y+1/2,z+1/2'
'x+1/2,-y+1/2,z+1/2'
loop_
_atom_site_label
_atom_site_type_symbol
_atom_site_fract_x
_atom_site_fract_y
_atom_site_fract_z
Ho1 Ho 0.000 0.000 0.000
Be1 Be 0.000 0.500 0.261
Be2 Be 0.249 0.246 0.746
Cu1 Cu 0.000 0.000 0.352
Cu2 Cu 0.000 0.000 0.652
Cu3 Cu 0.000 0.285 0.492
Cu4 Cu 0.000 0.351 0.002
Cu5 Cu 0.000 0.500 0.723
```

Energy of formation from the pure elements   -144 meV per atom

10.
Crystalline CrBiTe2N at its relaxed geometry, computed with PBE.

Cell and atoms, written as CIF:
```
data_CrBiTe2N
_space_group_name_H-M_alt 'P 4/m m m'
_space_group_IT_number 123
_space_group_name_Hall '-P 4 2'
_cell_length_a 5.473
_cell_length_b 5.473
_cell_length_c 3.613
_cell_angle_alpha 90.00
_cell_angle_beta 90.00
_cell_angle_gamma 90.00
loop_
_atom_site_label
_atom_site_type_symbol
_atom_site_fract_x
_atom_site_fract_y
_atom_site_fract_z
Cr1 Cr 0.000 0.000 0.000
Bi1 Bi 0.500 0.500 0.500
Te1 Te 0.000 0.500 0.000
N1 N 0.000 0.000 0.500
```

Relative energy among the computed polymorphs   0.000 eV per atom
Uncorrected formation energy   0.173 eV/atom

11.
Crystalline Sm2Zn3Co2 at its relaxed geometry, computed with PBE.

Cell and atoms, written as CIF:
```
data_Sm2Zn3Co2
_space_group_name_H-M_alt 'C 1 2/m 1'
_space_group_IT_number 12
_cell_length_a 9.751
_cell_length_b 4.287
_cell_length_c 6.353
_cell_angle_alpha 90.00
_cell_angle_beta 105.48
_cell_angle_gamma 90.00
loop_
_space_group_symop_operation_xyz
'x,y,z'
'-x,-y,-z'
'-x,y,-z'
'x,-y,z'
'x+1/2,y+1/2,z'
'-x+1/2,-y+1/2,-z'
'-x+1/2,y+1/2,-z'
'x+1/2,-y+1/2,z'
loop_
_atom_site_label
_atom_site_type_symbol
_atom_site_fract_x
_atom_site_fract_y
_atom_site_fract_z
Sm1 Sm 0.121 0.000 0.345
Zn1 Zn 0.000 0.500 0.000
Zn2 Zn 0.204 0.000 0.875
Co1 Co 0.081 0.500 0.666
```

Energy of formation from the pure elements   -205 meV per atom

12.
Crystalline TbEr2TmSe6 at its relaxed geometry, computed with PBE.

Cell and atoms, written as CIF:
```
data_TbEr2TmSe6
_space_group_name_H-M_alt 'R 3'
_space_group_IT_number 146
_space_group_name_Hall 'R 3'
_cell_length_a 7.1533
_cell_length_b 7.1533
_cell_length_c 19.3540
_cell_angle_alpha 90.00
_cell_angle_beta 90.00
_cell_angle_gamma 120.00
loop_
_atom_site_label
_atom_site_type_symbol
_atom_site_fract_x
_atom_site_fract_y
_atom_site_fract_z
Tb1 Tb 0.0000 0.0000 0.0000
Er1 Er 0.0000 0.0000 0.3036
Er2 Er 0.0000 0.0000 0.8047
Tm1 Tm 0.0000 0.0000 0.4984
Se1 Se 0.9996 0.6918 0.9008
Se2 Se 0.0051 0.3061 0.4015
```

Uncorrected formation energy   -1.845 eV/atom